1.
RbMgCdHg3: optimized geometry, PBE.

It has space group Cmcm (No. 63), with a = 7.525 Å, b = 14.447 Å, c = 7.137 Å, α = 90.00°, β = 90.00° and γ = 90.00°. The inequivalent atoms are Rb at (0.000, 0.216, 0.250), Mg at (0.000, 0.476, 0.250), Cd at (0.000, 0.125, 0.750), Hg at (0.000, 0.327, 0.750) and Hg at (0.210, 0.000, 0.000).

As for the calculated density: 7.05 g/cm3. The value obtained for the total energy is -4.940 eV/f.u. As for the calculated formation energy: -93 meV/atom. Its density of states at the Fermi level is 10.194 states/eV per cell.

---

2.
BaInAg2F6: optimized geometry, PBE.

It has space group P2_1/c (No. 14), with a = 6.275 Å, b = 6.426 Å, c = 11.048 Å, α = 90.00°, β = 124.58° and γ = 90.00°. The inequivalent atoms are Ba at (0.000, 0.000, 0.000), In at (0.500, 0.000, 0.500), Ag at (0.241, 0.033, 0.745), F at (0.170, 0.078, 0.278), F at (0.248, 0.652, 0.046) and F at (0.426, 0.212, 0.073).

As for the calculated density: 5.27 g/cm3. The value obtained for the total energy is -43.101 eV/f.u. The formation energy from raw total energies is -2.151 eV per atom. Its density of states at the Fermi level is 3.940 states/eV per cell.

---

3.
CuRu4: optimized geometry, PBE.

It has space group Pm-3m (No. 221), with a = 4.358 Å, b = 4.358 Å, c = 4.358 Å, α = 90.00°, β = 90.00° and γ = 90.00°. The inequivalent atoms are Cu at (0.000, 0.000, 0.000), Ru at (0.000, 0.000, 0.500) and Ru at (0.500, 0.500, 0.500).

The calculation puts the distance to the lowest polymorph of the same formula at 37.09 kcal/mol of atoms. As for the calculated density: 9.39 g/cm3. The value obtained for the total energy is -32.080 eV/f.u. As for the calculated formation energy: 1824 meV/atom. Its density of states at the Fermi level is 8.080 states/eV per cell.